# 1
## InHg2Te (meta-GGA SCAN)

Data for a PBEsol-optimized structure of InHg2Te.

## Properties
**VASP energy**: -1.90599 Ha/atom
**ΔE to the lowest computed polymorph**: 0.00 eV per formula unit
**Formation energy (no corrections)**: -0.1223 eV/atom

a b c (Å): 7.4441 7.4441 7.4441
angles (deg): 33.13 33.13 33.13
Last column: nearest neighbours and their distance in Å.
Fractional coordinates of all 4 atoms:
1 In 0.0000 0.0000 0.0000  3 Te 2.97, 3 Hg 3.00
2 Hg 0.2509 0.2509 0.2509  3 Hg 2.97, 3 In 3.00
3 Hg 0.5047 0.5047 0.5047  3 Hg 2.97, 3 Te 3.12
4 Te 0.7463 0.7463 0.7463  3 In 2.97, 3 Hg 3.12

=====

# 2
## In2HgTe (meta-GGA SCAN)

Data for a PBEsol-optimized structure of In2HgTe.

## Properties
**VASP energy**: -1.58829 Ha/atom
**ΔE to the lowest computed polymorph**: 0.00 eV per formula unit
**Formation energy (no corrections)**: -0.1722 eV/atom

a b c (Å): 7.7647 7.7647 7.7647
angles (deg): 31.07 31.07 31.07
Last column: nearest neighbours and their distance in Å.
Fractional coordinates of all 4 atoms:
1 In 0.2476 0.2476 0.2476  3 Hg 3.00, 3 Te 3.06
2 In 0.7524 0.7524 0.7524  3 Hg 3.00, 3 Te 3.06
3 Hg 0.5000 0.5000 0.5000  6 In 3.00
4 Te 0.0000 0.0000 0.0000  6 In 3.06

=====

# 3
## InHg2Te (meta-GGA SCAN)

Data for a PBEsol-optimized structure of InHg2Te.

## Properties
**VASP energy**: -1.90000 Ha/atom
**ΔE to the lowest computed polymorph**: 0.65 eV per formula unit
**Formation energy (no corrections)**: 0.0408 eV/atom

a b c (Å): 3.0001 5.5902 6.2539
angles (deg): 90.00 90.00 90.00
Last column: nearest neighbours and their distance in Å.
Fractional coordinates of all 4 atoms:
1 In 0.0000 0.0000 0.0000  2 In 3.00, 2 Te 3.13
2 Hg 0.5000 0.5000 0.2498  4 Hg 3.00-3.13
3 Hg 0.5000 0.5000 0.7502  4 Hg 3.00-3.13
4 Te 0.0000 0.0000 0.5000  2 Te 3.00, 2 In 3.13